Below is a relaxed structure of Mg5Zn2Cd2, with properties calculated at the PBE level.

CIF file:
```
data_Mg5Zn2Cd2
_chemical_formula_sum 'Mg20 Zn8 Cd8'
_symmetry_space_group_name_H-M 'C m c e'
_symmetry_Int_Tables_number 64
_symmetry_space_group_name_Hall '-C 2ac 2'
_cell_length_a 15.670
_cell_length_b 7.026
_cell_length_c 7.027
_cell_angle_alpha 90.00
_cell_angle_beta 90.00
_cell_angle_gamma 90.00
loop_
_atom_site_label
_atom_site_type_symbol
_atom_site_fract_x
_atom_site_fract_y
_atom_site_fract_z
Mg1 Mg 0.000 0.000 0.000
Mg2 Mg 0.124 0.174 0.324
Zn1 Zn 0.000 0.127 0.627
Cd1 Cd 0.223 0.000 0.000
```

* ΔH_f (0 K): -0.032 eV per atom
* energy: -1.405 eV/atom
* M_tot: 0.0 μB per cell
* crystal system: orthorhombic



Below is a relaxed structure of CaCrRe2, with properties calculated at the PBE level.

CIF file:
```
data_CaCrRe2
_chemical_formula_sum 'Ca1 Cr1 Re2'
_symmetry_space_group_name_H-M 'P m m m'
_symmetry_Int_Tables_number 47
_cell_length_a 3.128
_cell_length_b 4.458
_cell_length_c 4.719
_cell_angle_alpha 90.00
_cell_angle_beta 90.00
_cell_angle_gamma 90.00
loop_
_symmetry_equiv_pos_as_xyz
'x,y,z'
'-x,-y,-z'
'-x,-y,z'
'x,y,-z'
'x,-y,-z'
'-x,y,z'
'-x,y,-z'
'x,-y,z'
loop_
_atom_site_label
_atom_site_type_symbol
_atom_site_fract_x
_atom_site_fract_y
_atom_site_fract_z
Ca1 Ca 0.000 0.000 0.000
Cr1 Cr 0.500 0.500 0.000
Re1 Re 0.000 0.500 0.500
Re2 Re 0.500 0.000 0.500
```

* ΔH_f (0 K): 0.754 eV per atom
* distance to the lowest polymorph of the same formula: 276 meV/atom
* energy: -8.376 eV/atom
* M_tot: 2.2 μB per cell
* crystal system: orthorhombic



Below is a relaxed structure of Mn5Be2GeW2, with properties calculated at the PBE level.

CIF file:
```
data_Mn5Be2GeW2
_chemical_formula_sum 'Mn10 Be4 Ge2 W4'
_symmetry_space_group_name_H-M 'P 4/m b m'
_symmetry_Int_Tables_number 127
_symmetry_space_group_name_Hall '-P 4 2ab'
_cell_length_a 8.681
_cell_length_b 8.681
_cell_length_c 3.067
_cell_angle_alpha 90.00
_cell_angle_beta 90.00
_cell_angle_gamma 90.00
loop_
_atom_site_label
_atom_site_type_symbol
_atom_site_fract_x
_atom_site_fract_y
_atom_site_fract_z
Mn1 Mn 0.000 0.500 0.000
Mn2 Mn 0.067 0.211 0.000
Be1 Be 0.123 0.377 0.500
Ge1 Ge 0.000 0.000 0.500
W1 W 0.173 0.673 0.500
```

* ΔH_f (0 K): -0.030 eV per atom
* energy: -8.412 eV/atom
* M_tot: 10.3 μB per cell
* crystal system: tetragonal